Record 1
{"formula": "ScGaO", "functional": "PBE-GGA", "state": "relaxed", "magmom_total_mub_per_fu": 0.000, "e_form_raw_kj_per_mol_atoms": -188, "cell": [[3.003, 0.000, 0.000], [0.000, 3.003, 0.000], [0.000, 0.000, 9.735]], "species": ["Sc", "Sc", "Ga", "Ga", "O", "O"], "fractional_positions": [[0.250, 0.250, 0.139], [0.750, 0.750, 0.861], [0.250, 0.250, 0.605], [0.750, 0.750, 0.395], [0.250, 0.250, 0.910], [0.750, 0.750, 0.090]]}

---

Record 2
{"formula": "TbScCd", "functional": "PBE-GGA", "state": "relaxed", "magmom_total_mub_per_fu": 0.000, "e_above_lowest_polymorph_mev_per_atom": 95, "formation_enthalpy_0k_mev_per_atom": -79, "cell": [[5.104, 0.000, 0.000], [-2.552, 4.420, 0.000], [0.000, 0.000, 3.481]], "species": ["Tb", "Sc", "Cd"], "fractional_positions": [[0.000, 0.000, 0.000], [0.667, 0.333, 0.538], [0.333, 0.667, 0.409]]}

---

Record 3
{"formula": "TcNi2", "functional": "PBE-GGA", "state": "relaxed", "magmom_total_mub_per_fu": 0.000, "e_above_lowest_polymorph_mev_per_atom": 22, "formation_enthalpy_0k_mev_per_atom": -16, "cell": [[4.696, -1.304, 0.000], [4.696, 1.304, 0.000], [-1.624, 0.000, 5.908]], "species": ["Tc", "Tc", "Ni", "Ni", "Ni", "Ni"], "fractional_positions": [[0.023, 0.023, 0.301], [0.977, 0.977, 0.699], [0.303, 0.303, 0.364], [0.359, 0.359, 0.969], [0.641, 0.641, 0.031], [0.697, 0.697, 0.636]]}